VASP calculation (PBE) on a geometry-optimized TbThP2Ir5 structure.

The calculation puts the total energy at -8.13 eV/atom.

```
TbThP2Ir5
1.0
4.0710 0.0000 0.0000
0.0000 4.0710 0.0000
0.0000 0.0000 10.9011
Tb Th P Ir
1 1 2 5
Cartesian
0.0000 0.0000 0.0000
0.0000 0.0000 5.4506
2.0355 2.0355 3.1554
2.0355 2.0355 7.7457
0.0000 2.0355 2.1632
0.0000 2.0355 8.7379
2.0355 0.0000 2.1632
2.0355 0.0000 8.7379
2.0355 2.0355 5.4506
```